# Pu2GaTc2

A relaxed structure of Pu2GaTc2 (PBE, Alexandria).

Unit cell a=5.2778 b=5.2778 c=5.2778 alpha=130.96 beta=112.89 gamma=87.45
Fractional positions:
Pu (0.1984, 0.1984, 0.0000)
Pu (0.8016, 0.8016, 0.0000)
Ga (0.5000, 0.0000, 0.5000)
Tc (0.2502, 0.5000, 0.7502)
Tc (0.7498, 0.5000, 0.2498)

Values from the calculation:
Energy of formation from the pure elements in meV per atom: -69
Space-group type: Immm (71)
E_tot in eV per atom: -10.55

---

# BaMn2Pd

A relaxed structure of BaMn2Pd (PBE, Alexandria).

Unit cell a=4.6114 b=4.6114 c=4.6114 alpha=60.00 beta=60.00 gamma=60.00
Fractional positions:
Ba (0.0000, 0.0000, 0.0000)
Mn (0.2500, 0.2500, 0.2500)
Mn (0.7500, 0.7500, 0.7500)
Pd (0.5000, 0.5000, 0.5000)

Values from the calculation:
Energy of formation from the pure elements in meV per atom: 1308
Space-group type: Fm-3m (225)
E_tot in eV per atom: -5.06

---

# CaTl2P

A relaxed structure of CaTl2P (PBE, Alexandria).

Unit cell a=6.7993 b=6.7993 c=6.7993 alpha=147.12 beta=140.68 gamma=52.16
Fractional positions:
Ca (0.0000, 0.0000, 0.0000)
Tl (0.3016, 0.8016, 0.5000)
Tl (0.6984, 0.1984, 0.5000)
P (0.5000, 0.5000, 0.0000)

Values from the calculation:
Energy of formation from the pure elements in meV per atom: -324
Space-group type: Immm (71)
E_tot in eV per atom: -3.36

---

# CeErOsPt

A relaxed structure of CeErOsPt (PBE, Alexandria).

Unit cell a=4.9085 b=4.9085 c=4.9085 alpha=60.00 beta=60.00 gamma=60.00
Fractional positions:
Ce (0.0000, 0.0000, 0.0000)
Er (0.5000, 0.5000, 0.5000)
Os (0.2500, 0.2500, 0.2500)
Pt (0.7500, 0.7500, 0.7500)

Values from the calculation:
Energy of formation from the pure elements in meV per atom: -603
Space-group type: F-43m (216)
E_tot in eV per atom: -7.54

---

# Nd2Sm6DyHo

A relaxed structure of Nd2Sm6DyHo (PBE, Alexandria).

Unit cell a=8.9108 b=8.9108 c=9.8049 alpha=94.43 beta=94.43 gamma=118.21
Fractional positions:
Nd (0.1948, 0.2974, 0.0420)
Nd (0.2974, 0.1948, 0.5420)
Nd (0.7026, 0.8052, 0.4580)
Nd (0.8052, 0.7026, 0.9580)
Sm (0.0185, 0.5747, 0.1885)
Sm (0.1239, 0.7503, 0.5560)
Sm (0.2497, 0.8761, 0.9440)
Sm (0.2916, 0.5010, 0.3801)
Sm (0.4253, 0.9815, 0.3115)
Sm (0.4990, 0.7084, 0.1199)
Sm (0.5010, 0.2916, 0.8801)
Sm (0.5747, 0.0185, 0.6885)
Sm (0.7084, 0.4990, 0.6199)
Sm (0.7503, 0.1239, 0.0560)
Sm (0.8761, 0.2497, 0.4440)
Sm (0.9815, 0.4253, 0.8115)
Dy (0.0194, 0.9806, 0.2500)
Dy (0.9806, 0.0194, 0.7500)
Ho (0.4076, 0.5924, 0.7500)
Ho (0.5924, 0.4076, 0.2500)

Values from the calculation:
Energy of formation from the pure elements in meV per atom: 116
Space-group type: C2/c (15)
E_tot in eV per atom: -4.59

---

# CoPbAu2

A relaxed structure of CoPbAu2 (PBE, Alexandria).

Unit cell a=5.3193 b=5.3193 c=5.3193 alpha=134.84 beta=134.84 gamma=65.78
Fractional positions:
Co (0.0000, 0.0000, 0.0000)
Pb (0.5000, 0.5000, 0.0000)
Au (0.2500, 0.7500, 0.5000)
Au (0.7500, 0.2500, 0.5000)

Values from the calculation:
Energy of formation from the pure elements in meV per atom: 335
Space-group type: I4/mmm (139)
E_tot in eV per atom: -4.01

---

# NaAcSn4

A relaxed structure of NaAcSn4 (PBE, Alexandria).

Unit cell a=6.3396 b=6.3396 c=6.3396 alpha=60.00 beta=60.00 gamma=60.00
Fractional positions:
Na (0.0000, 0.0000, 0.0000)
Ac (0.2500, 0.2500, 0.2500)
Sn (0.1252, 0.6249, 0.6249)
Sn (0.6249, 0.1252, 0.6249)
Sn (0.6249, 0.6249, 0.1252)
Sn (0.6249, 0.6249, 0.6249)

Values from the calculation:
Energy of formation from the pure elements in meV per atom: -364
Space-group type: F-43m (216)
E_tot in eV per atom: -3.94

---

# Ac4TbTm

A relaxed structure of Ac4TbTm (PBE, Alexandria).

Unit cell a=3.7158 b=5.8126 c=11.2528 alpha=90.00 beta=90.00 gamma=90.00
Fractional positions:
Ac (0.0000, 0.0000, 0.1558)
Ac (0.0000, 0.0000, 0.8442)
Ac (0.0000, 0.5000, 0.3421)
Ac (0.0000, 0.5000, 0.6579)
Tb (0.5000, 0.0000, 0.5000)
Tm (0.5000, 0.5000, 0.0000)

Values from the calculation:
Energy of formation from the pure elements in meV per atom: 173
Space-group type: Pmmm (47)
E_tot in eV per atom: -4.08

---

# Nd3Y2Se6

A relaxed structure of Nd3Y2Se6 (PBE, Alexandria).

Unit cell a=20.8221 b=20.8221 c=20.8221 alpha=11.54 beta=11.54 gamma=11.54
Fractional positions:
Nd (0.0000, 0.0000, 0.0000)
Nd (0.2777, 0.2777, 0.2777)
Nd (0.7223, 0.7223, 0.7223)
Y (0.4482, 0.4482, 0.4482)
Y (0.5518, 0.5518, 0.5518)
Se (0.0852, 0.0852, 0.0852)
Se (0.1965, 0.1965, 0.1965)
Se (0.3615, 0.3615, 0.3615)
Se (0.6385, 0.6385, 0.6385)
Se (0.8035, 0.8035, 0.8035)
Se (0.9148, 0.9148, 0.9148)

Values from the calculation:
Space-group type: R-3m (166)
E_tot in eV per atom: -6.20
Formation energy from raw total energies in meV/atom: -1824.2

---

# Nd8Tm4Th

A relaxed structure of Nd8Tm4Th (PBE, Alexandria).

Unit cell a=10.4554 b=10.4554 c=10.4554 alpha=41.09 beta=41.09 gamma=41.09
Fractional positions:
Nd (0.2038, 0.7533, 0.7533)
Nd (0.2141, 0.2141, 0.2141)
Nd (0.2467, 0.2467, 0.7962)
Nd (0.2467, 0.7962, 0.2467)
Nd (0.7533, 0.2038, 0.7533)
Nd (0.7533, 0.7533, 0.2038)
Nd (0.7859, 0.7859, 0.7859)
Nd (0.7962, 0.2467, 0.2467)
Tm (0.0000, 0.0000, 0.0000)
Tm (0.0000, 0.5000, 0.5000)
Tm (0.5000, 0.0000, 0.5000)
Tm (0.5000, 0.5000, 0.0000)
Th (0.5000, 0.5000, 0.5000)

Values from the calculation:
Energy of formation from the pure elements in meV per atom: 227
Space-group type: R-3m (166)
E_tot in eV per atom: -4.65

---

# BaCa3Mn

A relaxed structure of BaCa3Mn (PBE, Alexandria).

Unit cell a=5.8424 b=5.8424 c=5.8424 alpha=90.00 beta=90.00 gamma=90.00
Fractional positions:
Ba (0.0000, 0.0000, 0.0000)
Ca (0.0000, 0.5000, 0.5000)
Ca (0.5000, 0.0000, 0.5000)
Ca (0.5000, 0.5000, 0.0000)
Mn (0.5000, 0.5000, 0.5000)

Values from the calculation:
Energy of formation from the pure elements in meV per atom: 291
Space-group type: Pm-3m (221)
E_tot in eV per atom: -3.13

---

# SbPbAu2

A relaxed structure of SbPbAu2 (PBE, Alexandria).

Unit cell a=5.2867 b=5.2867 c=3.3538 alpha=90.00 beta=90.00 gamma=97.12
Fractional positions:
Sb (0.0000, 0.0000, 0.0000)
Pb (0.5000, 0.5000, 0.0000)
Au (0.0000, 0.5000, 0.5000)
Au (0.5000, 0.0000, 0.5000)

Values from the calculation:
Space-group type: Cmmm (65)
E_tot in eV per atom: -3.55
Formation energy from raw total energies in meV/atom: 49.7

---

- Which of these has the lowest E_tot?
  Pu2GaTc2

---

- Which of these has the lowest E_tot?
  Pu2GaTc2